[1]
A relaxed RbCuW crystal. Source: Alexandria via LeMat-Bulk, functional PBE.

The structure belongs to space group P-1 (No. 2); the cell edges are 4.335, 4.336 and 12.008 Å and the angles 88.81°, 88.39° and 60.01°. The asymmetric unit holds Rb at (0.188, 0.175, 0.199), Cu at (0.493, 0.498, 0.604) and W at (0.167, 0.167, 0.502).

As for the crystal system: triclinic. As for the formation energy: 0.6933 eV per atom.

***

[2]
A relaxed Ba2ZnTeS5 crystal. Source: Alexandria via LeMat-Bulk, functional PBE.

The structure belongs to space group Cmc2_1 (No. 36); the cell edges are 4.104, 18.357 and 12.726 Å and the angles 90.00°, 90.00° and 90.00°. The asymmetric unit holds Ba at (0.000, 0.104, 0.000), Ba at (0.000, 0.124, 0.620), Zn at (0.000, 0.440, 0.765), Te at (0.000, 0.216, 0.333), S at (0.000, 0.060, 0.361), S at (0.000, 0.277, 0.974), S at (0.000, 0.304, 0.693), S at (0.000, 0.352, 0.313) and S at (0.000, 0.498, 0.606).

As for the crystal system: orthorhombic. Its formation energy from raw total energies is -1.092 eV/atom.

***

[3]
A relaxed Tb6Dy2Ho3Pb crystal. Source: Alexandria via LeMat-Bulk, functional PBE.

The structure belongs to space group C2/m (No. 12); the cell edges are 6.095, 10.564 and 11.686 Å and the angles 90.00°, 100.06° and 90.00°. The asymmetric unit holds Tb at (0.246, 0.000, 0.249), Tb at (0.247, 0.164, 0.749), Dy at (0.000, 0.334, 0.500), Ho at (0.000, 0.168, 0.000), Ho at (0.000, 0.500, 0.000) and Pb at (0.000, 0.000, 0.500).

As for the crystal system: monoclinic. As for the formation energy: -0.0513 eV per atom.